No. 1
Here is AcLa2PmN4 after structural relaxation from the Alexandria database. Energies are from GGA-PBE.

```
8
Lattice="3.758 0.000 0.000 0.000 6.509 -0.124 0.000 2.296 6.109" Properties=species:S:1:pos:R:3 pbc="T T T"
Pm 1.879 3.255 -0.062
N 0.000 6.613 4.528
N 3.758 2.192 1.457
N 1.879 3.348 4.609
N 1.879 5.457 1.376
La 0.000 2.296 6.109
La 1.879 1.148 3.054
Ac 0.000 4.402 2.992
```

Summary:
- ΔE_f (raw) (eV per atom) = -1.253

***

No. 2
Here is Ca2MnCo after structural relaxation from the Alexandria database. Energies are from GGA-PBE.

```
4
Lattice="-0.633 -0.536 3.228 -0.974 -3.110 -0.707 7.781 -2.681 1.080" Properties=species:S:1:pos:R:3 pbc="T T T"
Ca 1.732 -2.696 1.612
Ca 7.225 -2.490 1.003
Mn 4.434 -3.627 1.987
Co 4.455 -1.535 0.618
```

Summary:
- ΔE to the lowest computed polymorph (eV/atom) = 0.000

***

No. 3
Here is K3CeY2O6 after structural relaxation from the Alexandria database. Energies are from GGA-PBE.

```
12
Lattice="6.140 -0.001 0.000 -3.069 5.318 0.000 -1.024 -1.773 6.272" Properties=species:S:1:pos:R:3 pbc="T T T"
K 1.023 1.772 3.136
K 4.086 0.003 3.136
K -2.039 3.541 3.136
O 2.023 3.503 1.173
O 2.095 0.000 1.172
O 3.094 1.730 5.100
O 0.024 0.041 5.100
O -0.048 3.544 5.100
O -1.047 1.814 1.172
Y 3.070 1.772 0.000
Y 0.001 3.545 0.000
Ce 0.000 0.000 0.000
```

Summary:
- ΔE_f (raw) (eV per atom) = -2.687

***

No. 4
Here is CsMgAsH12O10 after structural relaxation from the Alexandria database. Energies are from GGA-PBE.

```
25
Lattice="-3.642 -4.971 -3.852 3.036 -6.452 -1.399 -2.524 -5.986 3.257" Properties=species:S:1:pos:R:3 pbc="T T T"
H -2.147 -6.359 -1.927
H -2.308 -8.081 1.404
H -2.969 -7.481 -2.796
H 0.292 -6.900 -1.031
H -3.638 -9.896 -0.002
H -1.739 -6.729 0.669
H -1.861 -9.837 -3.307
H -0.353 -10.171 -2.754
H 0.055 -10.542 -0.158
H 0.977 -8.356 -1.347
H -3.891 -9.666 -1.607
H -1.200 -10.437 0.893
O 1.153 -7.374 -1.235
O -2.631 -9.704 1.301
O -3.315 -9.083 -3.049
O -2.792 -6.499 -2.684
O -1.086 -6.041 -0.692
O -2.132 -7.098 1.516
O 0.771 -9.990 -1.548
O -0.338 -10.910 0.689
O -4.283 -10.035 -0.760
O -0.999 -10.311 -3.510
Cs -2.348 -13.057 -1.496
As -0.783 -4.352 -0.499
Mg 0.000 0.000 0.000
```

***

No. 5
Here is CsRbZnGeO after structural relaxation from the Alexandria database. Energies are from GGA-PBE.

```
5
Lattice="-0.002 4.429 -1.557 -5.718 0.042 0.110 -2.585 2.199 6.208" Properties=species:S:1:pos:R:3 pbc="T T T"
Rb -3.486 3.007 3.309
O -0.069 1.674 -0.462
Cs -3.978 3.907 -1.197
Zn -6.385 4.765 1.265
Ge -0.986 2.182 1.004
```

Summary:
- ΔE to the lowest computed polymorph (eV/atom) = 0.048
- ΔE_f (raw) (eV per atom) = -0.564

***

No. 6
Here is Tb4YHo after structural relaxation from the Alexandria database. Energies are from GGA-PBE.

```
6
Lattice="-3.253 -3.799 0.419 6.265 -1.523 4.658 -8.457 6.924 -2.660" Properties=species:S:1:pos:R:3 pbc="T T T"
Y 0.410 0.039 3.537
Ho 0.000 0.000 0.000
Tb -2.677 2.317 0.297
Tb 3.094 -2.283 3.250
Tb -2.768 -0.716 2.120
Tb -8.539 3.885 -0.833
```

Summary:
- ΔE to the lowest computed polymorph (eV/atom) = 0.000

***

No. 7
Here is Ac6Ga2Au after structural relaxation from the Alexandria database. Energies are from GGA-PBE.

```
18
Lattice="-2.136 2.837 6.194 2.018 -7.466 4.115 9.713 3.781 2.097" Properties=species:S:1:pos:R:3 pbc="T T T"
Ga 6.079 2.670 8.922
Ga 7.823 -2.128 8.687
Ga 1.772 1.279 3.720
Ga 3.516 -3.519 3.485
Au -0.059 -2.315 5.155
Au 4.857 1.890 1.049
Ac 7.227 2.968 2.743
Ac 2.367 -3.817 9.663
Ac 8.055 4.145 6.658
Ac 1.037 -1.698 2.245
Ac 1.540 -4.994 5.749
Ac 4.607 -0.426 3.208
Ac 4.573 2.549 5.874
Ac 2.117 -0.515 6.452
Ac 8.557 0.849 10.162
Ac 5.022 -3.398 6.533
Ac 4.988 -0.423 9.199
Ac 7.478 -0.334 5.955
```

***

| no. | raw total energy (eV/cell) |
| --- | --- |
| 1 | -62.04 |
| 2 | -19.25 |
| 3 | -84.15 |
| 4 | -130.14 |
| 5 | -15.49 |
| 6 | -29.46 |
| 7 | -73.85 |